(1)
Computed, not measured: a geometry-optimized PSeIO2 structure at the PBE level of DFT.

```
PSeIO2
1.0
3.757 0.000 0.000
0.000 3.757 0.000
0.000 0.000 6.420
I P O Se
1 1 2 1
Cartesian
0.000 0.000 3.210 I
0.000 0.000 0.000 P
0.000 1.878 0.000 O
1.878 0.000 0.000 O
1.878 1.878 3.210 Se
```

**Raw formation energy**: 0.11 eV per formula unit
**Energy**: -20.25 eV per cell
**Energy above the most stable polymorph in this dataset**: 0 meV per atom
**Symmetry**: P4/mmm, No. 123


(2)
Computed, not measured: a geometry-optimized NaCaTl2Br5 structure at the PBE level of DFT.

```
NaCaTl2Br5
1.0
4.412 0.000 0.000
-2.206 9.424 0.000
0.000 0.000 15.138
Na Ca Tl Br
2 2 4 10
Cartesian
2.206 0.771 14.383 Na
0.000 8.653 6.814 Na
2.206 5.213 7.980 Ca
0.000 4.211 0.411 Ca
2.206 6.905 12.104 Tl
0.000 1.610 9.976 Tl
0.000 2.518 4.535 Tl
2.206 7.814 2.407 Tl
0.000 7.074 15.025 Br
2.206 3.760 13.660 Br
0.000 9.311 11.718 Br
0.000 4.996 9.966 Br
2.206 8.080 8.488 Br
2.206 2.350 7.456 Br
0.000 5.664 6.091 Br
2.206 0.112 4.150 Br
2.206 4.428 2.397 Br
0.000 1.344 0.919 Br
```

**Raw formation energy**: -12.57 eV per formula unit
**Energy**: -57.97 eV per cell
**Symmetry**: Cmc2_1, No. 36


(3)
Computed, not measured: a geometry-optimized SbRuPt2 structure at the PBE level of DFT.

```
SbRuPt2
1.0
-0.470 -0.658 2.849
-2.481 -1.438 -0.742
4.122 -6.668 -0.859
Pt Ru Sb
2 1 1
Cartesian
0.098 -0.159 -0.021 Pt
1.962 -3.175 -0.409 Pt
-0.445 -2.715 0.839 Ru
1.616 -6.049 0.409 Sb
```

**Raw formation energy**: 0.72 eV per formula unit
**Energy**: -24.76 eV per cell
**Symmetry**: P4/mmm, No. 123


(4)
Computed, not measured: a geometry-optimized ThCuTeO6 structure at the PBE level of DFT.

```
ThCuTeO6
1.0
5.045 0.000 0.000
0.000 5.045 0.000
0.000 0.000 9.722
Th Cu Te O
2 2 2 12
Cartesian
2.522 2.522 1.695 Th
0.000 0.000 6.556 Th
2.522 2.522 4.937 Cu
0.000 0.000 0.076 Cu
2.522 2.522 8.112 Te
0.000 0.000 3.251 Te
0.961 4.084 4.636 O
4.084 0.961 4.636 O
1.561 1.561 9.497 O
3.484 3.484 9.497 O
0.878 4.167 1.709 O
4.167 0.878 1.709 O
1.645 1.645 6.570 O
3.400 3.400 6.570 O
3.921 1.124 8.158 O
1.124 3.921 8.158 O
3.647 3.647 3.297 O
1.398 1.398 3.297 O
```

**Raw formation energy**: -15.32 eV per formula unit
**Energy**: -119.46 eV per cell
**Symmetry**: P4_2nm, No. 102


(5)
Computed, not measured: a geometry-optimized TaZn2Ag structure at the PBE level of DFT.

```
TaZn2Ag
1.0
-1.642 -0.302 -2.363
-2.104 -1.162 1.610
-2.971 6.997 1.169
Ag Ta Zn
1 1 2
Cartesian
-1.437 3.384 0.565 Ag
-4.148 4.625 0.519 Ta
-0.038 0.089 0.015 Zn
-2.580 0.933 -0.098 Zn
```

**Energy**: -16.99 eV per cell
**Energy above the most stable polymorph in this dataset**: 81 meV per atom
**Symmetry**: P4mm, No. 99


(6)
Computed, not measured: a geometry-optimized Ac2HgC2N6 structure at the PBE level of DFT.

```
Ac2HgC2N6
1.0
6.043 0.004 0.002
3.017 5.897 0.334
-0.001 -2.916 6.041
Ac Hg C N
2 1 2 6
Cartesian
6.041 -0.386 4.725 Ac
3.019 3.371 1.653 Ac
3.021 -1.456 3.022 Hg
3.018 2.031 4.795 C
6.042 0.954 1.583 C
3.863 1.048 5.235 N
6.886 1.938 1.142 N
3.018 3.186 4.229 N
2.173 1.048 5.235 N
6.042 -0.201 2.149 N
5.197 1.937 1.142 N
```

**Raw formation energy**: -2.06 eV per formula unit
**Energy**: -78.97 eV per cell
**Symmetry**: C2/m, No. 12


(7)
Computed, not measured: a geometry-optimized Pr7P5Se structure at the PBE level of DFT.

```
Pr7P5Se
1.0
4.178 0.000 0.000
-2.089 6.944 0.008
0.000 -0.033 24.675
Pr P Se
14 10 2
Cartesian
0.000 6.374 6.176 Pr
2.089 0.546 18.506 Pr
2.089 1.911 0.873 Pr
0.000 5.010 23.809 Pr
0.000 5.023 13.214 Pr
2.089 1.894 11.469 Pr
0.000 2.475 4.301 Pr
2.089 4.446 20.382 Pr
2.089 4.451 16.639 Pr
0.000 2.467 8.044 Pr
2.089 5.733 2.567 Pr
0.000 1.188 22.115 Pr
0.000 1.197 14.900 Pr
2.089 5.720 9.782 Pr
0.000 -0.028 24.675 P
2.089 3.125 22.852 P
0.000 3.796 1.830 P
2.089 0.628 8.753 P
0.000 6.290 15.930 P
0.000 -0.014 12.337 P
0.000 3.781 10.517 P
2.089 3.136 14.167 P
0.000 6.283 21.096 P
2.089 0.638 3.587 P
2.089 4.139 6.178 Se
0.000 2.781 18.506 Se
```

**Raw formation energy**: -18.97 eV per formula unit
**Energy**: -165.92 eV per cell
**Symmetry**: C2/m, No. 12


(8)
Computed, not measured: a geometry-optimized Cu4Br5N2 structure at the PBE level of DFT.

```
Cu4Br5N2
1.0
3.701 0.043 -0.356
-0.068 8.788 -0.759
0.234 0.176 10.081
Cu Br N
4 5 2
Cartesian
2.059 4.704 1.979 Cu
3.883 1.927 9.448 Cu
1.809 4.302 6.987 Cu
-0.016 7.079 -0.483 Cu
0.158 2.948 1.736 Br
3.710 6.058 7.229 Br
0.203 6.427 1.784 Br
1.851 0.021 -0.178 Br
3.664 2.579 7.182 Br
2.145 4.605 3.969 N
1.723 4.401 4.996 N
```

**Raw formation energy**: -2.03 eV per formula unit
**Energy**: -43.42 eV per cell
**Symmetry**: P-1, No. 2


(9)
Computed, not measured: a geometry-optimized TlAs2Os structure at the PBE level of DFT.

```
TlAs2Os
1.0
-4.424 -0.923 -1.851
1.886 -4.066 1.940
-1.402 0.776 2.976
Tl Os As
1 1 2
Cartesian
0.242 -1.645 2.458 Tl
-2.913 -0.073 0.562 Os
0.000 0.000 0.000 As
-1.269 -2.494 0.045 As
```

**Energy**: -19.69 eV per cell
**Energy above the most stable polymorph in this dataset**: 664 meV per atom
**Symmetry**: C2/m, No. 12


(10)
Computed, not measured: a geometry-optimized RbAcHO2 structure at the PBE level of DFT.

```
RbAcHO2
1.0
4.467 0.000 0.000
0.000 6.939 0.095
0.000 -2.003 6.789
Rb Ac H O
2 2 2 4
Cartesian
0.863 1.968 5.139 Rb
3.603 2.969 1.745 Rb
1.686 -0.501 1.697 Ac
2.780 -1.502 5.092 Ac
0.000 0.000 0.000 H
0.000 -1.001 3.394 H
2.884 3.464 6.775 O
2.884 0.471 3.503 O
1.582 4.466 3.381 O
1.582 1.472 0.109 O
```

**Energy**: -51.25 eV per cell
**Symmetry**: P2/c, No. 13


(11)
Computed, not measured: a geometry-optimized Tl3Cu2AuF9 structure at the PBE level of DFT.

```
Tl3Cu2AuF9
1.0
6.000 0.000 0.000
-3.000 5.196 0.000
0.000 0.000 7.406
Tl Cu Au F
3 2 1 9
Cartesian
0.000 3.464 4.958 Tl
0.000 0.000 0.000 Tl
3.000 1.732 2.448 Tl
0.000 3.464 1.144 Cu
3.000 1.732 6.262 Cu
0.000 0.000 3.703 Au
4.413 0.916 5.062 F
3.000 3.364 5.062 F
1.587 0.916 5.062 F
1.413 4.280 2.344 F
0.000 1.832 2.344 F
-1.413 4.280 2.344 F
3.000 0.000 0.000 F
-1.500 2.598 0.000 F
1.500 2.598 0.000 F
```

**Raw formation energy**: -22.74 eV per formula unit
**Energy**: -58.15 eV per cell
**Symmetry**: P-3m1, No. 164


(12)
Computed, not measured: a geometry-optimized K2UFeN4 structure at the PBE level of DFT.

```
K2UFeN4
1.0
-3.695 0.675 3.390
-1.294 -7.981 0.178
4.286 -0.588 4.789
K U Fe N
4 2 2 8
Cartesian
-1.000 -2.828 2.830 K
1.036 -3.107 5.106 K
-1.035 -4.819 6.965 K
-3.284 -4.511 4.451 K
-1.429 -0.393 5.579 U
-2.782 -6.959 1.635 U
-0.764 -6.678 4.211 Fe
-3.870 -0.596 3.390 Fe
-1.489 -0.921 1.219 N
-2.112 -6.542 5.434 N
0.390 -0.461 3.943 N
-4.742 -6.866 3.400 N
0.624 -6.063 5.204 N
-2.741 -1.575 4.419 N
-0.584 -1.871 6.830 N
-1.504 -5.771 2.826 N
```

**Raw formation energy**: -1.87 eV per formula unit
**Energy**: -114.23 eV per cell
**Symmetry**: Pmn2_1, No. 31